Material: BaLaCl5
Method: DFT, SCAN
State: single point on PBEsol structure

Values from the calculation:
For the uncorrected formation energy, the calculation gives -2.66 eV per atom.

CIF file:
```
data_BaLaCl5
_cell_length_a 7.4105
_cell_length_b 4.4902
_cell_length_c 13.0224
_cell_angle_alpha 90.00
_cell_angle_beta 92.36
_cell_angle_gamma 90.00
_space_group_name_H-M_alt 'P 1 21/m 1'
_space_group_IT_number 11
loop_
_space_group_symop_operation_xyz
'x,y,z'
'-x,-y,-z'
'-x,y+1/2,-z'
'x,-y+1/2,z'
loop_
_atom_site_label
_atom_site_type_symbol
_atom_site_fract_x
_atom_site_fract_y
_atom_site_fract_z
_atom_site_occupancy
Ba1 Ba 0.0543 0.2500 0.3424 1
La1 La 0.4394 0.7500 0.1507 1
Cl1 Cl 0.0697 0.7500 0.1615 1
Cl2 Cl 0.1595 0.2500 0.5713 1
Cl3 Cl 0.3224 0.2500 0.0224 1
Cl4 Cl 0.3479 0.7500 0.7902 1
Cl5 Cl 0.3681 0.7500 0.3543 1
```



Material: SiBrO2
Method: DFT, SCAN
State: single point on PBEsol structure

Values from the calculation:
For the uncorrected formation energy, the calculation gives -1.81 eV per atom.

CIF file:
```
data_SiBrO2
_cell_length_a 2.7530
_cell_length_b 2.7530
_cell_length_c 28.2883
_cell_angle_alpha 90.00
_cell_angle_beta 90.00
_cell_angle_gamma 120.00
_space_group_name_H-M_alt 'R -3 m'
_space_group_IT_number 166
_space_group_name_Hall '-R 3 2"'
loop_
_atom_site_label
_atom_site_type_symbol
_atom_site_fract_x
_atom_site_fract_y
_atom_site_fract_z
_atom_site_occupancy
Si1 Si 0.0000 0.0000 0.0000 1
Br1 Br 0.0000 0.0000 0.5000 1
O1 O 0.0000 0.0000 0.3649 1
```



no.,excess energy over the best structure of this formula in the dataset (eV/atom),VASP energy (eV for the cell shown)
1,0.043,-282.36
2,0.119,-147.50